Entry 1:
MgCuIr | PBEsol | relaxed

Properties
Magnetic moment, μB/atom: 0.000
Space group: P3m1 (156)
Total energy, eV per atom: -5.253
DFT formation energy, eV/atom: 0.0387

Cell: 2.7550 2.7550 6.4377 Å, 90.00 90.00 120.00°
Closest atoms and distances in Å follow each position.
Positions (direct):
Cu1 0.0000 0.0000 0.9971  3 Ir 2.64, 3 Mg 2.69, 6 Cu 2.76
Ir1 0.3333 0.6667 0.6696  3 Cu 2.64, 3 Mg 2.69, 6 Ir 2.76
Mg1 0.6667 0.3333 0.3334  3 Ir 2.69, 3 Cu 2.69, 6 Mg 2.76

---

Entry 2:
MgCuIr2 | PBEsol | relaxed

Properties
Magnetic moment, μB/atom: 0.000
Space group: Pmmm (47)
Total energy, eV per atom: -6.461
DFT formation energy, eV/atom: -0.0365

Cell: 2.8179 4.3557 4.5426 Å, 90.00 90.00 90.00°
Closest atoms and distances in Å follow each position.
Positions (direct):
Mg1 0.5000 0.5000 0.0000  4 Ir 2.59, 4 Cu 2.67, 2 Mg 2.82
Cu1 0.0000 0.5000 0.5000  4 Ir 2.59, 4 Mg 2.67, 2 Cu 2.82
Ir1 0.5000 0.0000 0.5000  4 Cu 2.59, 6 Ir 2.67-2.82
Ir2 0.0000 0.0000 0.0000  4 Mg 2.59, 6 Ir 2.67-2.82